Here is a relaxed structure of KRbOs3 from Alexandria. Energies are from PBE.

The energy relative to the elements is 3.810 eV/atom. The calculation puts the calculated density at 8.89 g/cm3. The calculation puts the energy above the lowest structure with this stoichiometry at 0 meV per atom. As for the crystal system: cubic. The final energy comes out at -3.341 eV/atom.

Cell: 5.0638 5.0638 5.0638 Å, 90.00 90.00 90.00°
Space group Pm-3m (No. 221)
Inequivalent atoms, fractional coordinates:
K (0.0000, 0.0000, 0.0000) [1 per cell]
Rb (0.5000, 0.5000, 0.5000) [1 per cell]
Os (0.0000, 0.0000, 0.5000) [3 per cell]